Record 1
A geometry-optimized FeReNi structure. Source: Alexandria, functional PBE.

The calculation puts the formation energy from the elements at 158 meV per atom. The total energy is -8.739 eV per atom. The energy above the most stable polymorph in this dataset comes out at 0.130 eV/atom.

The space group is P3m1 (No. 156) and the conventional cell measures 2.6447, 2.6447 and 6.3520 Å, with angles of 90.00, 90.00 and 120.00 degrees. The inequivalent atoms are Fe at (0.0000, 0.0000, 0.0000), Re at (0.3333, 0.6667, 0.6534) and Ni at (0.6667, 0.3333, 0.3157).



Record 2
A geometry-optimized OsPdSe2 structure. Source: Alexandria, functional PBE.

The total energy is -5.672 eV per atom. The energy above the most stable polymorph in this dataset comes out at 0.000 eV/atom.

The space group is I-42d (No. 122) and the conventional cell measures 5.636, 5.636 and 11.254 Å, with angles of 90.00, 90.00 and 90.00 degrees. The inequivalent atoms are Os at (0.000, 0.000, 0.000), Pd at (0.000, 0.000, 0.500) and Se at (0.230, 0.250, 0.125).



Record 3
A geometry-optimized LaZn4Pd2 structure. Source: Alexandria, functional PBE.

The calculation puts the formation energy from the elements at -112 meV per atom. The total energy is -3.027 eV per atom. The energy above the most stable polymorph in this dataset comes out at 0.448 eV/atom.

The space group is I4/mmm (No. 139) and the conventional cell measures 7.383, 7.383 and 5.793 Å, with angles of 90.00, 90.00 and 90.00 degrees. The inequivalent atoms are La at (0.000, 0.000, 0.000), Zn at (0.000, 0.235, 0.500) and Pd at (0.000, 0.500, 0.250).



Record 4
A geometry-optimized PmTm3Mn structure. Source: Alexandria, functional PBE.

The calculation puts the formation energy from the elements at 201 meV per atom. The total energy is -5.266 eV per atom.

The space group is Pm-3m (No. 221) and the conventional cell measures 5.257, 5.257 and 5.257 Å, with angles of 90.00, 90.00 and 90.00 degrees. The inequivalent atoms are Pm at (0.000, 0.000, 0.000), Tm at (0.000, 0.500, 0.500) and Mn at (0.500, 0.500, 0.500).



Record 5
A geometry-optimized Pa3ZnCo8 structure. Source: Alexandria, functional PBE.

The calculation puts the formation energy from the elements at -290 meV per atom. The total energy is -7.507 eV per atom.

The space group is R3m (No. 160, hexagonal axes) and the conventional cell measures 4.9011, 4.9011 and 24.2049 Å, with angles of 90.00, 90.00 and 120.00 degrees. The inequivalent atoms are Pa at (0.0000, 0.0000, 0.0000), Pa at (0.0000, 0.0000, 0.1276), Pa at (0.0000, 0.0000, 0.6163), Zn at (0.0000, 0.0000, 0.4942), Co at (0.0000, 0.0000, 0.3105), Co at (0.0000, 0.0000, 0.8112), Co at (0.0022, 0.5011, 0.5594) and Co at (0.0028, 0.5014, 0.0619).



Record 6
A geometry-optimized Zn3FeNi4 structure. Source: Alexandria, functional PBE.

The calculation puts the formation energy from the elements at -184 meV per atom. The total energy is -4.611 eV per atom.

The space group is P4/mmm (No. 123) and the conventional cell measures 2.672, 2.672 and 13.363 Å, with angles of 90.00, 90.00 and 90.00 degrees. The inequivalent atoms are Zn at (0.000, 0.000, 0.000), Zn at (0.000, 0.000, 0.251), Fe at (0.000, 0.000, 0.500), Ni at (0.500, 0.500, 0.125) and Ni at (0.500, 0.500, 0.379).



Record 7
A geometry-optimized BeIn2Co structure. Source: Alexandria, functional PBE.

The calculation puts the formation energy from the elements at 224 meV per atom. The total energy is -3.853 eV per atom.

The space group is Cm (No. 8) and the conventional cell measures 11.703, 2.885 and 4.357 Å, with angles of 90.00, 111.34 and 90.00 degrees. The inequivalent atoms are Be at (0.000, 0.000, 0.000), In at (0.162, 0.000, 0.663), In at (0.378, 0.000, 0.375) and Co at (0.154, 0.500, 0.155).



Record 8
A geometry-optimized Sm4ScIn2 structure. Source: Alexandria, functional PBE.

The calculation puts the formation energy from the elements at 113 meV per atom. The total energy is -4.271 eV per atom. The energy above the most stable polymorph in this dataset comes out at 0.268 eV/atom.

The space group is Fmmm (No. 69) and the conventional cell measures 8.147, 8.158 and 13.175 Å, with angles of 90.00, 90.00 and 90.00 degrees. The inequivalent atoms are Sm at (0.250, 0.250, 0.000), Sm at (0.250, 0.250, 0.250), Sc at (0.000, 0.000, 0.000) and In at (0.000, 0.000, 0.378).



Record 9
A geometry-optimized Ho8NiRh2 structure. Source: Alexandria, functional PBE.

The calculation puts the formation energy from the elements at -342 meV per atom. The total energy is -5.534 eV per atom.

The space group is Cm (No. 8) and the conventional cell measures 8.255, 12.371 and 6.010 Å, with angles of 90.00, 109.75 and 90.00 degrees. The inequivalent atoms are Ho at (0.000, 0.000, 0.000), Ho at (0.071, 0.369, 0.785), Ho at (0.149, 0.131, 0.570), Ho at (0.213, 0.500, 0.368), Ho at (0.354, 0.206, 0.186), Ni at (0.356, 0.000, 0.374) and Rh at (0.362, 0.314, 0.683).



Record 10
A geometry-optimized KGaSi structure. Source: Alexandria, functional PBE.

The total energy is -3.232 eV per atom.

The space group is P-1 (No. 2) and the conventional cell measures 4.235, 5.910 and 7.070 Å, with angles of 76.42, 72.62 and 69.02 degrees. The inequivalent atoms are K at (0.070, 0.211, 0.148), Ga at (0.281, 0.616, 0.324) and Si at (0.374, 0.199, 0.550).



Record 11
A geometry-optimized Si2AgPd2 structure. Source: Alexandria, functional PBE.

The total energy is -5.080 eV per atom. The energy above the most stable polymorph in this dataset comes out at 0.031 eV/atom.

The space group is P4/mbm (No. 127) and the conventional cell measures 7.256, 7.256 and 2.886 Å, with angles of 90.00, 90.00 and 90.00 degrees. The inequivalent atoms are Si at (0.117, 0.383, 0.000), Ag at (0.000, 0.000, 0.000) and Pd at (0.189, 0.689, 0.500).



Record 12
A geometry-optimized Li2MnGa2 structure. Source: Alexandria, functional PBE.

The calculation puts the formation energy from the elements at -162 meV per atom. The total energy is -3.972 eV per atom. The energy above the most stable polymorph in this dataset comes out at 0.000 eV/atom.

The space group is Cmcm (No. 63) and the conventional cell measures 14.829, 4.640 and 4.330 Å, with angles of 90.00, 90.00 and 90.00 degrees. The inequivalent atoms are Li at (0.193, 0.189, 0.250), Mn at (0.000, 0.166, 0.250) and Ga at (0.095, 0.318, 0.750).



Which formula does entry 1 have?
FeReNi